(1)
This record from the Open Quantum Materials Database describes crystalline MgZrPa at its relaxed geometry. The functional is PBE.

```
MgZrPa
1.0
-1.701 -4.461 0.854
-4.298 -1.343 -1.803
-0.213 -3.245 -3.599
Mg Pa Zr
1 1 1
direct
0.000 0.000 0.000
0.250 0.250 0.250
0.750 0.750 0.750
```

## Properties
Energy above the lowest structure with this stoichiometry: 0.0 meV/atom

(2)
This record from the Open Quantum Materials Database describes crystalline MgPd2Pb at its relaxed geometry. The functional is PBE.

```
MgPd2Pb
1.0
0.754 3.165 3.380
-3.018 3.538 0.617
-2.765 0.090 3.788
Pd Pb Mg
2 1 1
direct
0.000 0.000 0.000
0.750 0.750 0.750
0.500 0.500 0.500
0.250 0.250 0.250
```

(3)
This record from the Open Quantum Materials Database describes crystalline Mg2PdPb at its relaxed geometry. The functional is PBE.

```
Mg2PdPb
1.0
1.602 1.174 4.435
-1.212 4.275 1.968
-3.100 0.162 3.739
Pb Mg Pd
1 2 1
direct
0.500 0.500 0.500
0.000 0.000 0.000
0.750 0.750 0.750
0.250 0.250 0.250
```

(4)
This record from the Open Quantum Materials Database describes crystalline SrMgPdPb at its relaxed geometry. The functional is PBE.

```
SrMgPdPb
1.0
4.544 -2.467 -0.663
1.287 -3.974 3.118
0.076 -4.864 -1.874
Pb Pd Mg Sr
1 1 1 1
direct
0.000 0.000 0.000
0.500 0.500 0.500
0.750 0.750 0.750
0.250 0.250 0.250
```

## Properties
Energy above the lowest structure with this stoichiometry: 0.0 meV/atom

(5)
This record from the Open Quantum Materials Database describes crystalline SrMgPdPb at its relaxed geometry. The functional is PBE.

```
SrMgPdPb
1.0
0.650 -0.884 5.010
-2.710 2.661 3.446
-3.697 -2.315 2.696
Pb Pd Mg Sr
1 1 1 1
direct
0.250 0.250 0.250
0.500 0.500 0.500
0.750 0.750 0.750
0.000 0.000 0.000
```

## Properties
Energy above the lowest structure with this stoichiometry: 48.4 meV/atom

(6)
This record from the Open Quantum Materials Database describes crystalline SrMgPdPb at its relaxed geometry. The functional is PBE.

```
SrMgPdPb
1.0
0.000 3.646 3.646
3.646 0.000 3.646
3.646 3.646 0.000
Sr Pb Pd Mg
1 1 1 1
direct
0.000 0.000 0.000
0.500 0.500 0.500
0.250 0.250 0.250
0.750 0.750 0.750
```

## Properties
Energy above the lowest structure with this stoichiometry: 25.0 meV/atom

(7)
This record from the Open Quantum Materials Database describes crystalline MgZnPdPb at its relaxed geometry. The functional is PBE.

```
MgZnPdPb
1.0
4.243 1.522 1.666
0.354 4.312 2.093
0.748 0.318 4.737
Mg Pb Pd Zn
1 1 1 1
direct
0.750 0.750 0.750
0.250 0.250 0.250
0.500 0.500 0.500
0.000 0.000 0.000
```

## Properties
Energy above the lowest structure with this stoichiometry: 0.0 meV/atom

(8)
This record from the Open Quantum Materials Database describes crystalline PrMgPb2 at its relaxed geometry. The functional is PBE.

```
PrMgPb2
1.0
4.963 0.000 0.000
0.000 4.963 0.000
0.000 0.000 4.568
Mg Pb Pr
1 2 1
direct
0.000 0.000 0.500
0.000 0.500 0.000
0.500 0.000 0.000
0.500 0.500 0.500
```

Number 1: DFT total energy -16.76 eV for the cell shown. Number 2: DFT total energy -16.81 eV for the cell shown. Number 3: DFT total energy -12.79 eV for the cell shown. Number 4: DFT total energy -13.45 eV for the cell shown. Number 5: DFT total energy -13.26 eV for the cell shown. Number 6: DFT total energy -13.35 eV for the cell shown. Number 7: DFT total energy -12.29 eV for the cell shown. Number 8: DFT total energy -15.34 eV for the cell shown.